Here is a geometry-optimized ZnCoBAu structure from OQMD. Energies are from PBE.

**Energy above the lowest structure with this stoichiometry**: 0 meV/atom
**SG**: F-43m (216)
**E_tot**: -4.02 eV per atom
**Calculated density**: 11.4 Mg/m³

a = 4.0958 Å, b = 4.0958 Å, c = 4.0958 Å
α = 60.00°, β = 60.00°, γ = 60.00°
With the nearest neighbours (Å) after each atom.
Atoms (fractional coordinates):
1 B 0.0000 0.0000 0.0000  4 Co 2.51, 4 Au 2.51
2 Co 0.7500 0.7500 0.7500  4 B 2.51, 4 Zn 2.51
3 Au 0.2500 0.2500 0.2500  4 Zn 2.51, 4 B 2.51
4 Zn 0.5000 0.5000 0.5000  4 Au 2.51, 4 Co 2.51